Material: Sr2DyAgTe4
Method: DFT, PBE
State: relaxed

abc: 7.8624 4.5558 7.9651
angles: 90.00 110.09 90.00
Space group P2/m (No. 10)
One atom of each set of equivalent atoms:
Sr1 0.0000 0.0000 0.0000 (multiplicity 1)
Sr2 0.0000 0.5000 0.5000 (multiplicity 1)
Dy1 0.5000 0.0000 0.5000 (multiplicity 1)
Ag1 0.5000 0.5000 0.0000 (multiplicity 1)
Te1 0.2688 0.5000 0.2628 (multiplicity 2)
Te2 0.2794 0.0000 0.7582 (multiplicity 2)

Values from the calculation:
- Uncorrected formation energy: -1248 meV per atom
- Spin magnetization: 0.0 Bohr magnetons per cell
- Crystal system: monoclinic
- Volume: 33.49 Å³ per atom